# 1
# LaTh2Zn

LaTh2Zn after structural relaxation (PBE, the Alexandria database).

Calculated values
calculated formation energy = -0.1 eV/f.u.
ρ = 9.35 g/cm³
E above lowest polymorph = 0.00 eV per formula unit
calculated total energy = -5.29 eV per atom

abc: 3.691 3.691 8.718
angles: 90.00 90.00 90.00
Element x y z (fractional)
La: 0.000 0.000 0.000
Th: 0.500 0.500 0.297
Th: 0.500 0.500 0.703
Zn: 0.000 0.000 0.500

# 2
# CeEr4Tm5

CeEr4Tm5 after structural relaxation (PBE, the Alexandria database).

Calculated values
calculated formation energy = 2.6 eV/f.u.
ρ = 8.45 g/cm³
E above lowest polymorph = 0.00 eV per formula unit
calculated total energy = -4.39 eV per atom

abc: 9.061 9.061 8.471
angles: 116.17 116.17 31.74
Element x y z (fractional)
Ce: 0.000 0.000 0.000
Er: 0.177 0.177 0.423
Er: 0.469 0.469 0.727
Er: 0.531 0.531 0.273
Er: 0.823 0.823 0.577
Tm: 0.000 0.000 0.500
Tm: 0.325 0.325 0.880
Tm: 0.337 0.337 0.295
Tm: 0.663 0.663 0.705
Tm: 0.675 0.675 0.120

# 3
# Ta12TiMo6

Ta12TiMo6 after structural relaxation (PBE, the Alexandria database).

Calculated values
calculated formation energy = 11.4 eV/f.u.
ρ = 12.37 g/cm³
calculated total energy = -10.72 eV per atom

abc: 7.538 7.538 7.538
angles: 104.92 104.92 104.92
Element x y z (fractional)
Ta: 0.000 0.381 0.619
Ta: 0.000 0.619 0.381
Ta: 0.115 0.115 0.372
Ta: 0.115 0.372 0.115
Ta: 0.372 0.115 0.115
Ta: 0.381 0.000 0.619
Ta: 0.381 0.619 0.000
Ta: 0.619 0.000 0.381
Ta: 0.619 0.381 0.000
Ta: 0.628 0.885 0.885
Ta: 0.885 0.628 0.885
Ta: 0.885 0.885 0.628
Ti: 0.500 0.500 0.500
Mo: 0.188 0.789 0.789
Mo: 0.211 0.211 0.812
Mo: 0.211 0.812 0.211
Mo: 0.789 0.188 0.789
Mo: 0.789 0.789 0.188
Mo: 0.812 0.211 0.211

# 4
# Ce2Be4AlPt3

Ce2Be4AlPt3 after structural relaxation (PBE, the Alexandria database).

Calculated values
calculated formation energy = -6.9 eV/f.u.
ρ = 9.69 g/cm³
calculated total energy = -5.56 eV per atom

abc: 3.963 3.963 10.134
angles: 90.00 90.00 90.00
Element x y z (fractional)
Ce: 0.000 0.500 0.244
Ce: 0.500 0.000 0.756
Be: 0.000 0.000 0.000
Be: 0.000 0.500 0.637
Be: 0.500 0.000 0.363
Be: 0.500 0.500 0.000
Al: 0.000 0.000 0.500
Pt: 0.000 0.500 0.876
Pt: 0.500 0.000 0.124
Pt: 0.500 0.500 0.500

# 5
# SmAlZn

SmAlZn after structural relaxation (PBE, the Alexandria database).

Calculated values
calculated formation energy = -0.7 eV/f.u.
ρ = 6.32 g/cm³
calculated total energy = -3.48 eV per atom

abc: 6.129 6.129 6.129
angles: 148.18 148.18 45.61
Element x y z (fractional)
Sm: 0.000 0.000 0.000
Al: 0.306 0.306 0.000
Zn: 0.687 0.687 0.000

# 6
# KLaGe

KLaGe after structural relaxation (PBE, the Alexandria database).

Calculated values
calculated formation energy = -0.9 eV/f.u.
ρ = 3.69 g/cm³
calculated total energy = -3.85 eV per atom

abc: 5.149 5.149 10.242
angles: 104.51 104.51 60.11
Element x y z (fractional)
K: 0.000 0.000 0.000
K: 0.578 0.578 0.735
La: 0.423 0.423 0.271
La: 0.824 0.824 0.473
Ge: 0.173 0.173 0.516
Ge: 0.722 0.722 0.166

# 7
# Ti9TlSn2

Ti9TlSn2 after structural relaxation (PBE, the Alexandria database).

Calculated values
calculated formation energy = 2.3 eV/f.u.
ρ = 6.35 g/cm³
calculated total energy = -6.60 eV per atom

abc: 9.088 9.088 9.088
angles: 35.68 35.68 35.68
Element x y z (fractional)
Ti: 0.000 0.000 0.000
Ti: 0.085 0.085 0.582
Ti: 0.085 0.582 0.085
Ti: 0.168 0.168 0.168
Ti: 0.418 0.915 0.915
Ti: 0.582 0.085 0.085
Ti: 0.832 0.832 0.832
Ti: 0.915 0.418 0.915
Ti: 0.915 0.915 0.418
Tl: 0.500 0.500 0.500
Sn: 0.358 0.358 0.358
Sn: 0.642 0.642 0.642

# 8
# Sr2Li12CaHg3

Sr2Li12CaHg3 after structural relaxation (PBE, the Alexandria database).

Calculated values
calculated formation energy = 1.0 eV/f.u.
ρ = 2.83 g/cm³
calculated total energy = -1.57 eV per atom

abc: 9.291 9.291 9.291
angles: 57.08 57.08 57.08
Element x y z (fractional)
Sr: 0.088 0.088 0.088
Sr: 0.912 0.912 0.912
Li: 0.025 0.658 0.658
Li: 0.263 0.263 0.627
Li: 0.263 0.627 0.263
Li: 0.342 0.342 0.975
Li: 0.342 0.975 0.342
Li: 0.373 0.737 0.737
Li: 0.627 0.263 0.263
Li: 0.658 0.025 0.658
Li: 0.658 0.658 0.025
Li: 0.737 0.373 0.737
Li: 0.737 0.737 0.373
Li: 0.975 0.342 0.342
Ca: 0.500 0.500 0.500
Hg: 0.000 0.500 0.500
Hg: 0.500 0.000 0.500
Hg: 0.500 0.500 0.000

# 9
# Zr6BeTc5

Zr6BeTc5 after structural relaxation (PBE, the Alexandria database).

Calculated values
calculated formation energy = -3.9 eV/f.u.
ρ = 8.17 g/cm³
calculated total energy = -9.23 eV per atom

abc: 8.047 8.047 8.047
angles: 146.57 131.60 60.10
Element x y z (fractional)
Zr: 0.081 0.333 0.749
Zr: 0.246 0.000 0.246
Zr: 0.416 0.667 0.749
Zr: 0.584 0.333 0.251
Zr: 0.754 0.000 0.754
Zr: 0.919 0.667 0.251
Be: 0.500 0.500 0.000
Tc: 0.000 0.500 0.500
Tc: 0.167 0.167 0.000
Tc: 0.338 0.838 0.500
Tc: 0.662 0.162 0.500
Tc: 0.833 0.833 0.000

# 10
# NaSm3Hg4

NaSm3Hg4 after structural relaxation (PBE, the Alexandria database).

Calculated values
calculated formation energy = -3.4 eV/f.u.
ρ = 9.96 g/cm³
calculated total energy = -2.50 eV per atom

abc: 9.268 9.268 9.268
angles: 33.22 33.22 33.22
Element x y z (fractional)
Na: 0.000 0.000 0.000
Sm: 0.254 0.254 0.254
Sm: 0.500 0.500 0.500
Sm: 0.746 0.746 0.746
Hg: 0.125 0.125 0.125
Hg: 0.375 0.375 0.375
Hg: 0.625 0.625 0.625
Hg: 0.875 0.875 0.875

# 11
# ScHgBr

ScHgBr after structural relaxation (PBE, the Alexandria database).

Calculated values
ρ = 6.43 g/cm³
uncorrected formation energy = -0.73 eV/atom
E above lowest polymorph = 0.23 eV per formula unit
calculated total energy = -3.50 eV per atom

abc: 3.616 3.616 7.421
angles: 90.00 90.00 120.00
Element x y z (fractional)
Sc: 0.000 0.000 0.000
Hg: 0.333 0.667 0.729
Br: 0.667 0.333 0.238

# 12
# K2U2PdSe6

K2U2PdSe6 after structural relaxation (PBE, the Alexandria database).

Calculated values
ρ = 5.60 g/cm³
uncorrected formation energy = -1.02 eV/atom
calculated total energy = -5.65 eV per atom

abc: 7.066 7.066 8.225
angles: 97.52 97.52 121.74
Element x y z (fractional)
K: 0.159 0.841 0.000
K: 0.841 0.159 0.000
U: 0.335 0.665 0.500
U: 0.665 0.335 0.500
Pd: 0.000 0.000 0.500
Se: 0.063 0.413 0.702
Se: 0.263 0.263 0.310
Se: 0.413 0.063 0.702
Se: 0.587 0.937 0.298
Se: 0.737 0.737 0.690
Se: 0.937 0.587 0.298

Look up the ρ of the tenth one.
9.96 g/cm³